1.
{"formula": "Er2PaIr3", "functional": "GGA-PBE", "state": "relaxed", "formation_energy_mev_per_atom": -834, "e_above_lowest_polymorph_mev_per_atom": 0, "dos_ef_per_ev_cell": 3.8, "magmom_total_mub_per_cell": 0.00, "lattice_angstrom": [[-2.5003, 1.2819, 3.9495], [4.5152, -1.7072, 0.4382], [2.1532, 5.5797, -0.4479]], "species": ["Er", "Er", "Pa", "Ir", "Ir", "Ir"], "frac_coords": [[0.6667, 0.3333, 0.3467], [0.3333, 0.6667, 0.6533], [0.0000, 0.0000, 0.0000], [0.0000, 0.0000, 0.5000], [0.6667, 0.3333, 0.8672], [0.3333, 0.6667, 0.1328]]}


2.
{"formula": "ErPaIr", "functional": "GGA-PBE", "state": "relaxed", "formation_energy_mev_per_atom": -514, "e_above_lowest_polymorph_mev_per_atom": 0, "dos_ef_per_ev_cell": 3.7, "magmom_total_mub_per_cell": 0.00, "lattice_angstrom": [[-1.2812, -0.7671, -3.2460], [1.5586, -3.2120, 0.1439], [-4.5850, -0.0676, 3.7922]], "species": ["Er", "Pa", "Ir"], "frac_coords": [[0.0079, 0.0079, 0.0159], [0.3050, 0.3050, 0.6101], [0.6870, 0.6870, 0.3740]]}


3.
{"formula": "ErPaIr4", "functional": "GGA-PBE", "state": "relaxed", "formation_energy_mev_per_atom": -788, "dos_ef_per_ev_cell": 6.8, "magmom_total_mub_per_cell": 0.00, "lattice_angstrom": [[5.3525, 0.0000, 0.0000], [2.6763, 4.6354, 0.0000], [2.6763, 1.5451, 4.3703]], "species": ["Er", "Pa", "Ir", "Ir", "Ir", "Ir"], "frac_coords": [[0.0000, 0.0000, 0.0000], [0.2500, 0.2500, 0.2500], [0.6255, 0.6255, 0.1236], [0.6255, 0.1236, 0.6255], [0.6255, 0.6255, 0.6255], [0.1236, 0.6255, 0.6255]]}